Below is RbSiPt after structural relaxation, with properties calculated at the PBE-GGA level.

Computed properties:
V: 25.592 Å³/atom
polymorph energy (0 for the lowest one): 0.098 eV per atom
raw total energy: -3.41 eV per atom

Unit cell a=6.747 b=6.747 c=6.747 alpha=90.00 beta=90.00 gamma=90.00
Space group F-43m (No. 216)
Unique sites:
Rb 0.000 0.000 0.000 (multiplicity 4)
Si 0.250 0.250 0.750 (multiplicity 4)
Pt 0.000 0.000 0.500 (multiplicity 4)

Below is GaReAsO after structural relaxation, with properties calculated at the PBE-GGA level.

Computed properties:
V: 15.761 Å³/atom
polymorph energy (0 for the lowest one): 0.030 eV per atom
raw total energy: -6.59 eV per atom

Unit cell a=3.047 b=7.038 c=5.879 alpha=90.00 beta=90.00 gamma=90.00
Space group Pmc2_1 (No. 26)
Unique sites:
Ga 0.000 0.101 0.000 (multiplicity 2)
Re 0.500 0.488 0.647 (multiplicity 2)
As 0.000 0.295 0.404 (multiplicity 2)
O 0.500 0.286 0.907 (multiplicity 2)

Below is AcHoAg after structural relaxation, with properties calculated at the PBE-GGA level.

Computed properties:
V: 32.955 Å³/atom
polymorph energy (0 for the lowest one): 0.588 eV per atom
raw total energy: -3.17 eV per atom

Unit cell a=7.340 b=7.340 c=7.340 alpha=90.00 beta=90.00 gamma=90.00
Space group F-43m (No. 216)
Unique sites:
Ac 0.000 0.000 0.000 (multiplicity 4)
Ho 0.250 0.250 0.250 (multiplicity 4)
Ag 0.250 0.250 0.750 (multiplicity 4)

Below is ZnFeReSn after structural relaxation, with properties calculated at the PBE-GGA level.

Computed properties:
V: 15.205 Å³/atom
polymorph energy (0 for the lowest one): 0.000 eV per atom
raw total energy: -6.05 eV per atom

Unit cell a=6.243 b=6.243 c=6.243 alpha=90.00 beta=90.00 gamma=90.00
Space group F-43m (No. 216)
Unique sites:
Zn 0.000 0.000 0.000 (multiplicity 4)
Fe 0.250 0.250 0.750 (multiplicity 4)
Re 0.250 0.250 0.250 (multiplicity 4)
Sn 0.000 0.000 0.500 (multiplicity 4)

Below is Li2InGaAu4 after structural relaxation, with properties calculated at the PBE-GGA level.

Computed properties:
V: 16.935 Å³/atom
raw total energy: -3.26 eV per atom

Unit cell a=4.501 b=4.501 c=6.688 alpha=90.00 beta=90.00 gamma=90.00
Space group P4/mmm (No. 123)
Unique sites:
Li 0.000 0.000 0.000 (multiplicity 1)
Li 0.500 0.500 0.500 (multiplicity 1)
In 0.000 0.000 0.500 (multiplicity 1)
Ga 0.500 0.500 0.000 (multiplicity 1)
Au 0.000 0.500 0.231 (multiplicity 4)

Below is UTc2P2 after structural relaxation, with properties calculated at the PBE-GGA level.

Computed properties:
V: 16.038 Å³/atom
raw total energy: -9.25 eV per atom

Unit cell a=4.214 b=4.202 c=9.068 alpha=90.00 beta=92.79 gamma=90.00
Space group P2_1/m (No. 11)
Unique sites:
U 0.234 0.250 0.265 (multiplicity 2)
Tc 0.248 0.750 0.500 (multiplicity 2)
Tc 0.341 0.250 0.903 (multiplicity 2)
P 0.163 0.750 0.984 (multiplicity 2)
P 0.265 0.250 0.641 (multiplicity 2)

Below is Gd3Si4Pt after structural relaxation, with properties calculated at the PBE-GGA level.

Computed properties:
V: 20.786 Å³/atom
raw total energy: -5.93 eV per atom

Unit cell a=5.730 b=3.851 c=7.618 alpha=90.00 beta=98.46 gamma=90.00
Space group Pm (No. 6)
Unique sites:
Gd 0.000 0.000 0.000 (multiplicity 1)
Gd 0.169 0.000 0.478 (multiplicity 1)
Gd 0.689 0.500 0.618 (multiplicity 1)
Si 0.198 0.500 0.768 (multiplicity 1)
Si 0.478 0.000 0.836 (multiplicity 1)
Si 0.610 0.000 0.290 (multiplicity 1)
Si 0.875 0.500 0.268 (multiplicity 1)
Pt 0.521 0.500 0.045 (multiplicity 1)

Below is PrZrGe after structural relaxation, with properties calculated at the PBE-GGA level.

Computed properties:
V: 29.508 Å³/atom
raw total energy: -5.30 eV per atom

Unit cell a=7.075 b=7.075 c=7.075 alpha=90.00 beta=90.00 gamma=90.00
Space group F-43m (No. 216)
Unique sites:
Pr 0.000 0.000 0.000 (multiplicity 4)
Zr 0.250 0.250 0.250 (multiplicity 4)
Ge 0.250 0.250 0.750 (multiplicity 4)

Below is TmSiBi after structural relaxation, with properties calculated at the PBE-GGA level.

Computed properties:
V: 27.696 Å³/atom
polymorph energy (0 for the lowest one): 0.000 eV per atom
raw total energy: -4.70 eV per atom

Unit cell a=6.927 b=6.927 c=6.927 alpha=90.00 beta=90.00 gamma=90.00
Space group F-43m (No. 216)
Unique sites:
Tm 0.000 0.000 0.000 (multiplicity 4)
Si 0.250 0.250 0.750 (multiplicity 4)
Bi 0.000 0.000 0.500 (multiplicity 4)

Below is ReTeAsO after structural relaxation, with properties calculated at the PBE-GGA level.

Computed properties:
V: 17.762 Å³/atom
polymorph energy (0 for the lowest one): 0.566 eV per atom
raw total energy: -6.06 eV per atom

Unit cell a=3.792 b=3.792 c=9.883 alpha=90.00 beta=90.00 gamma=90.00
Space group P4/nmm (No. 129, origin choice 2)
Unique sites:
Re 0.250 0.750 0.000 (multiplicity 2)
Te 0.250 0.250 0.367 (multiplicity 2)
As 0.250 0.250 0.822 (multiplicity 2)
O 0.250 0.750 0.500 (multiplicity 2)

Below is HfNpCo after structural relaxation, with properties calculated at the PBE-GGA level.

Computed properties:
V: 20.704 Å³/atom
polymorph energy (0 for the lowest one): 0.000 eV per atom
raw total energy: -9.64 eV per atom

Unit cell a=6.287 b=6.287 c=6.287 alpha=90.00 beta=90.00 gamma=90.00
Space group F-43m (No. 216)
Unique sites:
Hf 0.000 0.000 0.000 (multiplicity 4)
Np 0.000 0.000 0.500 (multiplicity 4)
Co 0.250 0.250 0.250 (multiplicity 4)

Below is Lu4Hf2Cu3N3 after structural relaxation, with properties calculated at the PBE-GGA level.

Computed properties:
V: 16.288 Å³/atom
raw total energy: -7.06 eV per atom

Unit cell a=9.977 b=5.751 c=14.019 alpha=90.00 beta=103.61 gamma=90.00
Space group C2/c (No. 15)
Unique sites:
Lu 0.118 0.078 0.106 (multiplicity 8)
Lu 0.212 0.088 0.394 (multiplicity 8)
Hf 0.060 0.412 0.917 (multiplicity 8)
Cu 0.000 0.152 0.750 (multiplicity 4)
Cu 0.131 0.455 0.249 (multiplicity 8)
N 0.080 0.259 0.500 (multiplicity 8)
N 0.250 0.250 0.000 (multiplicity 4)